## w
Computed, not measured: a relaxed structure of Mg2FeIrO6 at the PBE+U level of DFT.

CIF file:
```
data_Mg2FeIrO6
_cell_length_a 5.144
_cell_length_b 5.315
_cell_length_c 9.133
_cell_angle_alpha 90.00
_cell_angle_beta 123.96
_cell_angle_gamma 90.00
_symmetry_space_group_name_H-M 'P 1 21/c 1'
_symmetry_Int_Tables_number 14
loop_
_symmetry_equiv_pos_as_xyz
'x,y,z'
'-x,-y,-z'
'-x,y+1/2,-z+1/2'
'x,-y+1/2,z+1/2'
loop_
_atom_site_label
_atom_site_fract_x
_atom_site_fract_y
_atom_site_fract_z
Mg1 0.238 0.058 0.246
Fe1 0.000 0.000 0.500
Ir1 0.500 0.000 0.000
O1 0.114 0.183 0.933
O2 0.250 0.688 0.926
O3 0.387 0.072 0.754
```

=====

## x
Computed, not measured: a relaxed structure of Mg2FeIrO6 at the PBE+U level of DFT.

CIF file:
```
data_Mg2FeIrO6
_cell_length_a 5.1660
_cell_length_b 5.1660
_cell_length_c 13.8307
_cell_angle_alpha 90.00
_cell_angle_beta 90.00
_cell_angle_gamma 120.00
_symmetry_space_group_name_H-M 'R 3'
_symmetry_Int_Tables_number 146
_symmetry_space_group_name_Hall 'R 3'
loop_
_atom_site_label
_atom_site_fract_x
_atom_site_fract_y
_atom_site_fract_z
Mg1 0.0000 0.0000 0.0000
Mg2 0.0000 0.0000 0.4948
Fe1 0.0000 0.0000 0.2083
Ir1 0.0000 0.0000 0.6996
O1 0.0388 0.3469 0.7724
O2 0.0396 0.6824 0.2739
```

=====

If we sort the structures by their calculated energies, the order from most to least stable is x, w.